(1)
VASP calculation (PBE) on a relaxed TaRe5B3 crystal. Values from VASP.

```
&SYSTEM
  ibrav = 0, nat = 18, ntyp = 3
/
ATOMIC_SPECIES
B 10.81 B.upf
Re 186.21 Re.upf
Ta 180.95 Ta.upf
CELL_PARAMETERS angstrom
-4.860 -1.829 1.936
2.340 -3.999 -3.041
4.281 0.206 7.942
ATOMIC_POSITIONS crystal
B 0.000 0.500 0.500
B 0.285 0.530 0.815
B 0.715 0.470 0.185
B 0.700 0.021 0.721
B 0.000 0.000 0.000
B 0.300 0.979 0.279
Re 0.602 0.359 0.413
Re 0.308 0.308 0.000
Re 0.248 0.786 0.033
Re 0.692 0.692 0.000
Re 0.752 0.214 0.967
Re 0.459 0.240 0.699
Re 0.541 0.760 0.301
Re 0.946 0.189 0.587
Re 0.398 0.641 0.587
Re 0.054 0.811 0.413
Ta 0.958 0.777 0.735
Ta 0.042 0.223 0.265
```

For the energy relative to the elements, the calculation gives 0.225 eV/atom. The value obtained for the density of states at the Fermi level is 5.21 states/eV/f.u.

(2)
VASP calculation (PBE) on a relaxed ErPuMnZn crystal. Values from VASP.

```
&SYSTEM
  ibrav = 0, nat = 4, ntyp = 4
/
ATOMIC_SPECIES
Mn 54.94 Mn.upf
Er 167.26 Er.upf
Zn 65.41 Zn.upf
Pu 244.00 Pu.upf
CELL_PARAMETERS angstrom
-3.962 -0.571 2.958
-2.231 -4.436 0.342
0.384 -2.663 4.187
ATOMIC_POSITIONS crystal
Mn 0.750 0.750 0.750
Er 0.000 0.000 0.000
Zn 0.250 0.250 0.250
Pu 0.500 0.500 0.500
```

For the energy relative to the elements, the calculation gives 0.194 eV/atom. The value obtained for the density of states at the Fermi level is 12.64 states/eV/f.u.

(3)
VASP calculation (PBE) on a relaxed MgMnOs2 crystal. Values from VASP.

```
&SYSTEM
  ibrav = 0, nat = 4, ntyp = 3
/
ATOMIC_SPECIES
Os 190.23 Os.upf
Mg 24.30 Mg.upf
Mn 54.94 Mn.upf
CELL_PARAMETERS angstrom
2.716 0.000 0.000
0.000 4.853 0.055
0.000 3.069 4.416
ATOMIC_POSITIONS crystal
Os 0.500 0.500 0.000
Os 0.000 0.000 0.000
Mg 0.500 0.500 0.500
Mn 0.000 0.000 0.500
```

For the energy relative to the elements, the calculation gives 0.241 eV/atom. The value obtained for the density of states at the Fermi level is 3.04 states/eV/f.u.

What did the third record say?
VASP calculation (PBE) on a relaxed MgMnOs2 crystal. Values from VASP.

```
&SYSTEM
  ibrav = 0, nat = 4, ntyp = 3
/
ATOMIC_SPECIES
Os 190.23 Os.upf
Mg 24.30 Mg.upf
Mn 54.94 Mn.upf
CELL_PARAMETERS angstrom
2.716 0.000 0.000
0.000 4.853 0.055
0.000 3.069 4.416
ATOMIC_POSITIONS crystal
Os 0.500 0.500 0.000
Os 0.000 0.000 0.000
Mg 0.500 0.500 0.500
Mn 0.000 0.000 0.500
```

For the energy relative to the elements, the calculation gives 0.241 eV/atom. The value obtained for the density of states at the Fermi level is 3.04 states/eV/f.u.

Repeat the second record exactly.
VASP calculation (PBE) on a relaxed ErPuMnZn crystal. Values from VASP.

```
&SYSTEM
  ibrav = 0, nat = 4, ntyp = 4
/
ATOMIC_SPECIES
Mn 54.94 Mn.upf
Er 167.26 Er.upf
Zn 65.41 Zn.upf
Pu 244.00 Pu.upf
CELL_PARAMETERS angstrom
-3.962 -0.571 2.958
-2.231 -4.436 0.342
0.384 -2.663 4.187
ATOMIC_POSITIONS crystal
Mn 0.750 0.750 0.750
Er 0.000 0.000 0.000
Zn 0.250 0.250 0.250
Pu 0.500 0.500 0.500
```

For the energy relative to the elements, the calculation gives 0.194 eV/atom. The value obtained for the density of states at the Fermi level is 12.64 states/eV/f.u.

> energy relative to the elements of number 2 (ErPuMnZn)?

0.194 eV/atom